No. 1
Zr3CdHg, relaxed, DFT PBE; space group = Cmcm, No. 63; ΔH_f (0 K) = 220 meV per atom
1.0
2.793 -7.837 0.000
2.793 7.837 0.000
0.000 0.000 5.426
Zr Cd Hg
6 2 2
Cartesian
0.000 0.000 0.000
0.000 0.000 2.713
1.383 2.455 1.356
1.383 -2.455 4.069
4.204 2.455 1.356
4.204 -2.455 4.069
2.793 5.118 1.356
2.793 -5.118 4.069
2.793 0.949 4.069
2.793 -0.949 1.356

=====

No. 2
DyY5Zn4, relaxed, DFT PBE; space group = P4/mmm, No. 123; ΔH_f (0 K) = -281 meV per atom
1.0
3.577 0.000 0.000
0.000 3.577 0.000
0.000 0.000 19.420
Dy Y Zn
1 5 4
Cartesian
0.000 0.000 0.000
1.789 1.789 2.563
1.789 1.789 6.138
1.789 1.789 9.710
1.789 1.789 13.282
1.789 1.789 16.857
0.000 0.000 4.347
0.000 0.000 7.901
0.000 0.000 11.519
0.000 0.000 15.073

=====

No. 3
Be2CuPd2, relaxed, DFT PBE; space group = P4/mbm, No. 127; ΔH_f (0 K) = -279 meV per atom
1.0
6.742 0.000 0.000
0.000 6.742 0.000
0.000 0.000 2.698
Be Cu Pd
4 2 4
Cartesian
1.026 2.345 0.000
2.345 5.716 0.000
4.397 1.026 0.000
5.716 4.397 0.000
0.000 0.000 1.349
3.371 3.371 1.349
0.984 4.355 1.349
2.387 0.984 1.349
4.355 5.758 1.349
5.758 2.387 1.349

=====

No. 4
La2Al3CuGe4, relaxed, DFT PBE; space group = P-4m2, No. 115; ΔH_f (0 K) = -400 meV per atom
1.0
4.659 0.000 0.000
0.000 4.659 0.000
0.000 0.000 9.556
La Al Cu Ge
2 3 1 4
Cartesian
0.000 2.329 2.358
2.329 0.000 7.198
0.000 0.000 0.000
0.000 2.329 5.889
2.329 0.000 3.667
2.329 2.329 0.000
0.000 0.000 4.778
0.000 2.329 8.389
2.329 0.000 1.167
2.329 2.329 4.778

=====

No. 5
V2CuIr, relaxed, DFT PBE; space group = P4/mmm, No. 123; ΔH_f (0 K) = -222 meV per atom
1.0
3.710 0.000 0.000
0.000 3.710 0.000
0.000 0.000 3.842
V Cu Ir
2 1 1
Cartesian
0.000 1.855 0.000
1.855 0.000 0.000
0.000 0.000 1.921
1.855 1.855 1.921

=====

No. 6
CsTlAu, relaxed, DFT PBE; space group = Cmce, No. 64; ΔH_f (0 K) = -159 meV per atom
1.0
3.546 -9.005 0.000
3.546 9.005 0.000
0.000 0.000 7.084
Cs Tl Au
4 4 4
Cartesian
3.546 5.863 7.074
3.546 3.142 3.532
3.546 -3.142 3.552
3.546 -5.863 0.010
1.773 -0.004 1.771
1.773 0.004 5.313
5.319 -0.004 1.771
5.319 0.004 5.313
3.546 7.059 3.533
3.546 1.946 7.075
3.546 -1.946 0.009
3.546 -7.059 3.551

=====

No. 7
HIrS2, relaxed, DFT PBE; space group = Cm, No. 8
1.0
6.330 0.000 0.000
0.000 3.655 0.000
-2.135 0.000 5.819
H Ir S
2 2 4
Cartesian
0.000 0.000 0.000
3.165 1.828 0.000
-1.078 1.828 3.369
2.088 0.000 3.369
-0.023 0.000 2.184
1.033 1.828 4.411
3.142 1.828 2.184
4.198 0.000 4.411

=====

No. 8
Zr2TlIn, relaxed, DFT PBE; space group = I-42d, No. 122; ΔH_f (0 K) = 126 meV per atom
1.0
7.995 0.000 0.000
0.000 7.995 0.000
0.000 0.000 6.155
Zr Tl In
8 4 4
Cartesian
1.993 5.996 0.769
1.999 1.993 5.386
1.999 2.005 2.308
2.005 5.996 3.847
5.990 1.999 3.847
5.996 5.990 2.308
5.996 6.002 5.386
6.002 1.999 0.769
0.000 0.000 0.000
0.000 3.998 1.539
3.998 0.000 4.616
3.998 3.998 3.078
0.000 0.000 3.078
0.000 3.998 4.616
3.998 0.000 1.539
3.998 3.998 0.000

=====

no.,total DFT energy (no corrections) (eV/cell),magnetization (μB/f.u.),D(E_F) (states/eV/f.u.)
1,-51.5,0.00,4.13
2,-44.8,0.00,12.00
3,-46.7,0.00,1.52
4,-47.7,0.00,4.21
5,-32.1,0.00,3.60
6,-27.9,0.00,2.00
7,-43.2,0.00,0.00
8,-86.8,0.00,2.94